The following is a PBE calculation of a relaxed UPdN crystal, from the Alexandria database.

POSCAR file:
```
UPdN
1.0
3.962 0.000 0.000
0.000 3.962 0.000
-1.981 -1.981 3.386
N Pd U
1 1 1
Direct
0.297 0.297 0.593
0.971 0.971 0.943
0.582 0.582 0.164
```

Computed properties:
- VASP energy: -8.2474 eV per atom
- Magnetization: 1.0 μB/cell
- ΔE_f (raw): 2.1 kJ/mol of atoms
- Symmetry: I4mm


The following is a PBE calculation of a relaxed LaCeNbN4 crystal, from the Alexandria database.

POSCAR file:
```
LaCeNbN4
1.0
-5.084 -2.519 0.904
1.095 -0.171 5.678
-0.137 6.912 0.235
N La Ce Nb
8 2 2 2
Direct
0.579 0.250 0.158
0.062 0.750 0.125
0.000 0.000 0.500
0.500 0.500 0.500
0.938 0.250 0.875
0.421 0.750 0.842
0.500 0.000 0.500
0.000 0.500 0.500
0.610 0.750 0.221
0.390 0.250 0.779
0.103 0.250 0.206
0.897 0.750 0.794
0.735 0.250 0.470
0.265 0.750 0.530
```

Computed properties:
- VASP energy: -8.9456 eV per atom
- Magnetization: 0.0 μB/cell
- ΔE_f (raw): -115.6 kJ/mol of atoms
- Symmetry: Cmcm


> What is the formula in the first record?

UPdN


Please write out number 2 again, unchanged.
The following is a PBE calculation of a relaxed LaCeNbN4 crystal, from the Alexandria database.

POSCAR file:
```
LaCeNbN4
1.0
-5.084 -2.519 0.904
1.095 -0.171 5.678
-0.137 6.912 0.235
N La Ce Nb
8 2 2 2
Direct
0.579 0.250 0.158
0.062 0.750 0.125
0.000 0.000 0.500
0.500 0.500 0.500
0.938 0.250 0.875
0.421 0.750 0.842
0.500 0.000 0.500
0.000 0.500 0.500
0.610 0.750 0.221
0.390 0.250 0.779
0.103 0.250 0.206
0.897 0.750 0.794
0.735 0.250 0.470
0.265 0.750 0.530
```

Computed properties:
- VASP energy: -8.9456 eV per atom
- Magnetization: 0.0 μB/cell
- ΔE_f (raw): -115.6 kJ/mol of atoms
- Symmetry: Cmcm